No. 1
A plane-wave DFT calculation with PBE was carried out for Li2TlWCl8 after structural relaxation.

Summary:
Density of states at the Fermi level ... 4.3 states/eV/f.u.
Final energy ... -3.956 eV/atom
Raw formation energy ... -13.55 eV/f.u.

abc: 6.1576 6.3446 9.0489
angles: 89.96 89.93 76.85
Closest atoms and distances in Å follow each position.
Space group P-1 (No. 2)
Unique sites:
Li 0.9999 0.0001 0.1658 (multiplicity 2)  2 Cl 2.30
Tl 0.5000 0.5000 0.0000 (multiplicity 1)  6 Cl 3.15-3.29
W 0.5000 0.5000 0.5000 (multiplicity 1)  6 Cl 2.29-2.38
Cl 0.1795 0.1768 0.9998 (multiplicity 2)  2 Li 2.30
Cl 0.2663 0.6949 0.6868 (multiplicity 2)  1 W 2.38, 1 Li 2.60
Cl 0.2670 0.6958 0.3134 (multiplicity 2)  1 W 2.38, 1 Li 2.60
Cl 0.2896 0.2449 0.4997 (multiplicity 2)  1 W 2.29



No. 2
A plane-wave DFT calculation with PBE was carried out for LiTlWCl6 after structural relaxation.

Summary:
Density of states at the Fermi level ... 8.3 states/eV/f.u.
Final energy ... -4.215 eV/atom
Raw formation energy ... -9.62 eV/f.u.

abc: 6.5537 6.5537 13.9815
angles: 90.00 90.00 120.00
Closest atoms and distances in Å follow each position.
Space group P-31c (No. 163)
Unique sites:
Li 0.3333 0.6667 0.2500 (multiplicity 2)  6 Cl 2.59
Tl 0.0000 0.0000 0.0000 (multiplicity 2)  6 Cl 3.22
W 0.3333 0.6667 0.7500 (multiplicity 2)  6 Cl 2.40
Cl 0.0221 0.3824 0.6510 (multiplicity 12)  1 W 2.40, 1 Li 2.59



No. 3
A plane-wave DFT calculation with PBE was carried out for LiYTl2Cl6 after structural relaxation.

Summary:
Density of states at the Fermi level ... 0.0 states/eV/f.u.
Final energy ... -4.119 eV/atom
Raw formation energy ... -17.00 eV/f.u.

abc: 7.2772 7.4180 12.6241
angles: 90.00 125.02 90.00
Closest atoms and distances in Å follow each position.
Space group P2_1/c (No. 14)
Unique sites:
Li 0.0000 0.0000 0.0000 (multiplicity 2)  6 Cl 2.61-2.65
Y 0.5000 0.0000 0.5000 (multiplicity 2)  6 Cl 2.65
Tl 0.2375 0.0505 0.7482 (multiplicity 4)  8 Cl 3.27-3.57
Cl 0.1761 0.2112 0.4664 (multiplicity 4)  1 Li 2.65, 1 Y 2.65
Cl 0.2567 0.7114 0.4669 (multiplicity 4)  1 Li 2.65, 1 Y 2.65
Cl 0.3136 0.0111 0.2478 (multiplicity 4)  1 Li 2.61, 1 Y 2.65